No. 1
A relaxed HfInB3 crystal. Source: Alexandria, functional PBE.

Cell lengths 4.303, 4.303, 4.303 Å; angles 90.00, 90.00, 90.00 degrees
Sites, in units of the cell vectors:
Hf 0.000 0.000 0.000
In 0.500 0.500 0.500
B 0.000 0.500 0.500
B 0.500 0.000 0.500
B 0.500 0.500 0.000

- Symmetry: Pm-3m, No. 221
- Total energy: -22.8 eV per cell
- Formation enthalpy at 0 K: 1.98 eV/atom
- Crystal system: cubic
- Spin magnetization: 0.00 μB per cell

No. 2
A relaxed Hf3InB crystal. Source: Alexandria, functional PBE.

Cell lengths 8.362, 8.362, 5.503 Å; angles 90.00, 90.00, 142.55 degrees
Sites, in units of the cell vectors:
Hf 0.000 0.000 0.000
Hf 0.000 0.000 0.500
Hf 0.088 0.408 0.250
Hf 0.408 0.088 0.750
Hf 0.592 0.912 0.250
Hf 0.912 0.592 0.750
In 0.168 0.832 0.250
In 0.832 0.168 0.750
B 0.456 0.544 0.250
B 0.544 0.456 0.750

- Symmetry: Cmcm, No. 63
- Total energy: -71.6 eV per cell
- Formation enthalpy at 0 K: 0.70 eV/atom
- Crystal system: orthorhombic
- Spin magnetization: 0.00 μB per cell

No. 3
A relaxed Hf3InB crystal. Source: Alexandria, functional PBE.

Cell lengths 3.355, 8.599, 7.258 Å; angles 90.00, 103.35, 90.00 degrees
Sites, in units of the cell vectors:
Hf 0.042 0.250 0.082
Hf 0.390 0.061 0.778
Hf 0.390 0.439 0.778
Hf 0.610 0.561 0.222
Hf 0.610 0.939 0.222
Hf 0.958 0.750 0.918
In 0.277 0.750 0.557
In 0.723 0.250 0.443
B 0.118 0.750 0.239
B 0.882 0.250 0.761

- Symmetry: P2_1/m, No. 11
- Total energy: -79.9 eV per cell
- Formation enthalpy at 0 K: -0.13 eV/atom
- Crystal system: monoclinic
- Spin magnetization: 0.00 μB per cell

No. 4
A relaxed Hf3InB crystal. Source: Alexandria, functional PBE.

Cell lengths 6.739, 6.739, 5.481 Å; angles 90.00, 90.00, 127.49 degrees
Sites, in units of the cell vectors:
Hf 0.000 0.000 0.000
Hf 0.000 0.000 0.500
Hf 0.057 0.441 0.250
Hf 0.441 0.057 0.750
Hf 0.559 0.943 0.250
Hf 0.943 0.559 0.750
In 0.428 0.572 0.750
In 0.572 0.428 0.250
B 0.160 0.840 0.250
B 0.840 0.160 0.750

- Symmetry: Cmcm, No. 63
- Total energy: -75.9 eV per cell
- Formation enthalpy at 0 K: 0.26 eV/atom
- Crystal system: orthorhombic
- Spin magnetization: 0.00 μB per cell

No. 5
A relaxed HfInBPb2 crystal. Source: Alexandria, functional PBE.

Cell lengths 5.587, 5.587, 5.513 Å; angles 90.00, 90.00, 90.00 degrees
Sites, in units of the cell vectors:
Hf 0.000 0.000 0.000
In 0.000 0.000 0.500
B 0.500 0.500 0.000
Pb 0.000 0.500 0.500
Pb 0.500 0.000 0.500

- Symmetry: P4/mmm, No. 123
- Total energy: -17.4 eV per cell
- Formation enthalpy at 0 K: 1.87 eV/atom
- Crystal system: tetragonal
- Spin magnetization: 0.00 μB per cell

No. 6
A relaxed Hf2InReB crystal. Source: Alexandria, functional PBE.

Cell lengths 4.638, 4.638, 4.105 Å; angles 90.00, 90.00, 90.00 degrees
Sites, in units of the cell vectors:
Hf 0.000 0.500 0.000
Hf 0.500 0.000 0.000
In 0.000 0.000 0.500
Re 0.500 0.500 0.500
B 0.500 0.500 0.000

- Symmetry: P4/mmm, No. 123
- Total energy: -43.0 eV per cell
- Formation enthalpy at 0 K: -0.25 eV/atom
- Crystal system: tetragonal
- Spin magnetization: 0.00 μB per cell